Crystalline VCdH at its relaxed geometry, computed with PBE.

Properties
VASP energy: -26.07 eV/cell
SG: P2_1 (4)
D(E_F): 2.49 states/eV per cell
Energy relative to the lowest polymorph listed for this composition: 148 meV/atom

abc: 2.8334 4.7702 5.5483
angles: 90.00 97.47 90.00
Fractional positions:
V 0.1236 0.0000 0.4097
V 0.8764 0.5000 0.5903
Cd 0.3387 0.4485 0.1083
Cd 0.6613 0.9485 0.8917
H 0.3672 0.2751 0.6036
H 0.6328 0.7751 0.3964

=====

Crystalline Mn2AlP at its relaxed geometry, computed with PBE.

Properties
VASP energy: -28.16 eV/cell
SG: Fm-3m (225)
Calculated formation energy: -166 meV/atom
D(E_F): 4.40 states/eV per cell
Energy relative to the lowest polymorph listed for this composition: 141 meV/atom

abc: 3.9796 3.9796 3.9796
angles: 60.00 60.00 60.00
Fractional positions:
Mn 0.2500 0.2500 0.2500
Mn 0.7500 0.7500 0.7500
Al 0.0000 0.0000 0.0000
P 0.5000 0.5000 0.5000

=====

Crystalline Tb5Y4Th at its relaxed geometry, computed with PBE.

Properties
VASP energy: -54.68 eV/cell
SG: C2/m (12)
Calculated formation energy: 175 meV/atom
D(E_F): 13.40 states/eV per cell
Energy relative to the lowest polymorph listed for this composition: 0 meV/atom

abc: 8.7742 8.7742 11.0184
angles: 90.57 90.57 23.44
Fractional positions:
Tb 0.0000 0.0000 0.0000
Tb 0.3263 0.3263 0.9512
Tb 0.3287 0.3287 0.5507
Tb 0.6713 0.6713 0.4493
Tb 0.6737 0.6737 0.0488
Y 0.1521 0.1521 0.7459
Y 0.4746 0.4746 0.7503
Y 0.5254 0.5254 0.2497
Y 0.8479 0.8479 0.2541
Th 0.0000 0.0000 0.5000

=====

Crystalline K2CaOs at its relaxed geometry, computed with PBE.

Properties
VASP energy: -12.15 eV/cell
SG: Pm (6)
Calculated formation energy: 820 meV/atom
D(E_F): 3.55 states/eV per cell
Energy relative to the lowest polymorph listed for this composition: 56 meV/atom

abc: 3.0603 4.5139 10.2268
angles: 90.00 90.10 90.00
Fractional positions:
K 0.0000 0.0000 0.0000
K 0.4800 0.5000 0.3881
Ca 0.0001 0.0000 0.6671
Os 0.5007 0.5000 0.7736

=====

Crystalline TbHo2Al at its relaxed geometry, computed with PBE.

Properties
VASP energy: -18.29 eV/cell
SG: P4/mmm (123)
Calculated formation energy: -190 meV/atom
D(E_F): 5.53 states/eV per cell
Energy relative to the lowest polymorph listed for this composition: 10 meV/atom

abc: 4.7494 4.7494 4.7552
angles: 90.00 90.00 90.00
Fractional positions:
Tb 0.0000 0.0000 0.0000
Ho 0.0000 0.5000 0.5000
Ho 0.5000 0.0000 0.5000
Al 0.5000 0.5000 0.0000

=====

Crystalline CrSbW4 at its relaxed geometry, computed with PBE.

Properties
VASP energy: -61.33 eV/cell
SG: F-43m (216)
Energy relative to the elements, uncorrected: 704.7 meV per atom
D(E_F): 4.99 states/eV per cell

abc: 5.3197 5.3197 5.3197
angles: 60.00 60.00 60.00
Fractional positions:
Cr 0.0000 0.0000 0.0000
Sb 0.2500 0.2500 0.2500
W 0.1244 0.6252 0.6252
W 0.6252 0.1244 0.6252
W 0.6252 0.6252 0.1244
W 0.6252 0.6252 0.6252

=====

Crystalline Y2BeZn12Cu3 at its relaxed geometry, computed with PBE.

Properties
VASP energy: -44.01 eV/cell
SG: R-3m (166)
Calculated formation energy: 12 meV/atom
D(E_F): 10.00 states/eV per cell

abc: 11.4089 11.4089 11.4089
angles: 29.04 29.04 29.04
Fractional positions:
Y 0.1404 0.1404 0.1404
Y 0.8596 0.8596 0.8596
Be 0.5000 0.5000 0.5000
Zn 0.0976 0.0976 0.6428
Zn 0.0976 0.6428 0.0976
Zn 0.1162 0.6108 0.6108
Zn 0.3572 0.9024 0.9024
Zn 0.3892 0.3892 0.8838
Zn 0.3892 0.8838 0.3892
Zn 0.6108 0.1162 0.6108
Zn 0.6108 0.6108 0.1162
Zn 0.6428 0.0976 0.0976
Zn 0.8838 0.3892 0.3892
Zn 0.9024 0.3572 0.9024
Zn 0.9024 0.9024 0.3572
Cu 0.0000 0.5000 0.5000
Cu 0.5000 0.0000 0.5000
Cu 0.5000 0.5000 0.0000

=====

Crystalline Ce2ZnTe at its relaxed geometry, computed with PBE.

Properties
VASP energy: -18.39 eV/cell
SG: R3m (160)
Energy relative to the elements, uncorrected: -527.0 meV per atom
D(E_F): 15.05 states/eV per cell
Energy relative to the lowest polymorph listed for this composition: 94 meV/atom

abc: 8.5036 8.5036 8.5036
angles: 28.08 28.08 28.08
Fractional positions:
Ce 0.0000 0.0000 0.0000
Ce 0.1657 0.1657 0.1657
Zn 0.7507 0.7507 0.7507
Te 0.5824 0.5824 0.5824

=====

no.,spin magnetization (μB per formula unit)
1,0.00
2,0.82
3,0.00
4,0.00
5,0.00
6,2.28
7,0.00
8,2.40